PBE with a Hubbard U HoCu3Ni4O12, optimized geometry; crystal system = cubic; calculated total energy = -5.3198 eV/atom
1.0
-3.6384 3.6384 3.6384
3.6384 -3.6384 3.6384
3.6384 3.6384 -3.6384
Ho Cu Ni O
1 3 4 12
Cartesian
0.0000 0.0000 0.0000
3.6384 0.0000 0.0000
0.0000 3.6384 0.0000
0.0000 0.0000 3.6384
1.8192 1.8192 -1.8192
1.8192 -1.8192 1.8192
-1.8192 1.8192 1.8192
1.8192 1.8192 1.8192
3.6384 -1.4144 2.4144
2.2240 1.2240 0.0000
5.0528 1.2240 0.0000
2.4144 3.6384 -1.4144
1.2240 0.0000 2.2240
0.0000 2.2240 1.2240
3.6384 1.4144 2.4144
2.4144 3.6384 1.4144
1.2240 0.0000 5.0528
-1.4144 2.4144 3.6384
1.4144 2.4144 3.6384
0.0000 5.0528 1.2240